[1]
MnBeBr2, relaxed, DFT PBE; magnetic moment = 4.402 μB per formula unit; V = 79 Å³/f.u.; energy above the lowest structure with this stoichiometry = 2.79 eV/f.u.; uncorrected formation energy = 550.8 meV/atom
1.0
6.810 0.000 0.000
0.000 6.810 0.000
0.000 0.000 6.810
Mn Be Br
4 4 8
direct
0.000 0.000 0.000 Mn
0.000 0.500 0.500 Mn
0.500 0.000 0.500 Mn
0.500 0.500 0.000 Mn
0.000 0.000 0.500 Be
0.000 0.500 0.000 Be
0.500 0.000 0.000 Be
0.500 0.500 0.500 Be
0.250 0.250 0.250 Br
0.250 0.250 0.750 Br
0.250 0.750 0.250 Br
0.250 0.750 0.750 Br
0.750 0.250 0.250 Br
0.750 0.250 0.750 Br
0.750 0.750 0.250 Br
0.750 0.750 0.750 Br


[2]
MnBeBr2, relaxed, DFT PBE; magnetic moment = 4.149 μB per formula unit; V = 93 Å³/f.u.; energy above the lowest structure with this stoichiometry = 0.00 eV/f.u.; uncorrected formation energy = -146.0 meV/atom
1.0
6.363 0.000 0.000
0.000 3.361 0.000
-3.065 0.000 8.708
Mn Be Br
2 2 4
direct
0.000 0.000 0.000 Mn
0.500 0.500 0.000 Mn
0.250 0.500 0.197 Be
0.750 0.000 0.197 Be
0.232 0.000 0.811 Br
0.311 0.000 0.361 Br
0.732 0.500 0.811 Br
0.811 0.500 0.361 Br


[3]
MnBeBr2, relaxed, DFT PBE; magnetic moment = 4.101 μB per formula unit; V = 97 Å³/f.u.; energy above the lowest structure with this stoichiometry = 0.28 eV/f.u.; uncorrected formation energy = -75.9 meV/atom
1.0
3.363 0.000 0.000
0.000 6.427 0.000
0.000 0.000 8.931
Mn Be Br
2 2 4
direct
0.000 0.000 0.000 Mn
0.500 0.500 0.000 Mn
0.000 0.500 0.206 Be
0.500 0.000 0.206 Be
0.000 0.000 0.364 Br
0.000 0.500 0.791 Br
0.500 0.000 0.791 Br
0.500 0.500 0.364 Br


[4]
MnBeBr2, relaxed, DFT PBE; magnetic moment = 4.034 μB per formula unit; V = 94 Å³/f.u.; energy above the lowest structure with this stoichiometry = 0.33 eV/f.u.; uncorrected formation energy = -63.2 meV/atom
1.0
3.462 0.000 0.000
0.000 3.270 0.000
-0.043 0.000 8.310
Mn Be Br
1 1 2
direct
0.000 0.000 0.000 Mn
0.501 0.500 0.171 Be
0.503 0.000 0.346 Br
0.995 0.500 0.773 Br


[5]
MnBeBr2, relaxed, DFT PBE; magnetic moment = 4.308 μB per formula unit; V = 79 Å³/f.u.; energy above the lowest structure with this stoichiometry = 2.68 eV/f.u.; uncorrected formation energy = 525.2 meV/atom
1.0
3.406 0.000 0.000
0.000 3.406 0.000
0.000 0.000 6.807
Mn Be Br
1 1 2
direct
0.000 0.000 0.000 Mn
0.000 0.000 0.500 Be
0.500 0.500 0.241 Br
0.500 0.500 0.759 Br


[6]
Mn2BeBr, relaxed, DFT PBE; magnetic moment = 6.871 μB per formula unit; V = 58 Å³/f.u.; energy above the lowest structure with this stoichiometry = 1.69 eV/f.u.; uncorrected formation energy = 691.1 meV/atom
1.0
3.999 0.000 0.000
0.000 3.999 0.000
0.000 0.000 7.317
Mn Be Br
4 2 2
direct
0.000 0.500 0.250 Mn
0.000 0.500 0.750 Mn
0.500 0.000 0.250 Mn
0.500 0.000 0.750 Mn
0.000 0.000 0.000 Be
0.500 0.500 0.500 Be
0.000 0.000 0.500 Br
0.500 0.500 0.000 Br


[7]
MnBeBr2, relaxed, DFT PBE; magnetic moment = 3.888 μB per formula unit; V = 93 Å³/f.u.; energy above the lowest structure with this stoichiometry = 2.23 eV/f.u.; uncorrected formation energy = 410.4 meV/atom
1.0
7.385 0.000 0.000
0.000 7.385 0.000
-0.050 0.000 3.421
Mn Be Br
2 2 4
direct
0.000 0.000 0.000 Mn
0.500 0.500 0.000 Mn
0.000 0.500 0.000 Be
0.500 0.000 0.000 Be
0.250 0.250 0.000 Br
0.250 0.750 0.000 Br
0.750 0.250 0.000 Br
0.750 0.750 0.000 Br


[8]
Mn2BeBr, relaxed, DFT PBE; magnetic moment = 5.867 μB per formula unit; V = 60 Å³/f.u.; energy above the lowest structure with this stoichiometry = 2.07 eV/f.u.; uncorrected formation energy = 788.3 meV/atom
1.0
3.740 0.000 0.000
0.000 3.740 0.000
0.000 0.000 17.147
Mn Be Br
8 4 4
direct
0.236 0.250 0.125 Mn
0.250 0.736 0.375 Mn
0.250 0.764 0.875 Mn
0.264 0.250 0.625 Mn
0.736 0.750 0.625 Mn
0.750 0.236 0.875 Mn
0.750 0.264 0.375 Mn
0.764 0.750 0.125 Mn
0.000 0.000 0.000 Be
0.000 0.500 0.250 Be
0.500 0.000 0.750 Be
0.500 0.500 0.500 Be
0.000 0.000 0.500 Br
0.000 0.500 0.750 Br
0.500 0.000 0.250 Br
0.500 0.500 0.000 Br


[9]
Mn2BeBr, relaxed, DFT PBE; magnetic moment = 6.785 μB per formula unit; V = 59 Å³/f.u.; energy above the lowest structure with this stoichiometry = 1.41 eV/f.u.; uncorrected formation energy = 622.0 meV/atom
1.0
3.196 0.000 0.000
0.000 4.722 0.000
0.000 0.000 7.854
Mn Be Br
4 2 2
direct
0.000 0.000 0.226 Mn
0.000 0.000 0.774 Mn
0.500 0.500 0.274 Mn
0.500 0.500 0.726 Mn
0.000 0.500 0.500 Be
0.500 0.000 0.000 Be
0.000 0.500 0.000 Br
0.500 0.000 0.500 Br


[10]
Mn2BeBr, relaxed, DFT PBE; magnetic moment = 7.021 μB per formula unit; V = 59 Å³/f.u.; energy above the lowest structure with this stoichiometry = 1.61 eV/f.u.; uncorrected formation energy = 672.7 meV/atom
1.0
3.664 0.000 0.000
0.000 3.664 0.000
0.000 0.000 8.756
Mn Be Br
4 2 2
direct
0.000 0.000 0.000 Mn
0.000 0.500 0.250 Mn
0.500 0.000 0.750 Mn
0.500 0.500 0.500 Mn
0.000 0.000 0.500 Be
0.500 0.500 0.000 Be
0.000 0.500 0.750 Br
0.500 0.000 0.250 Br


[11]
Mn2BeBr, relaxed, DFT PBE; magnetic moment = 6.832 μB per formula unit; V = 65 Å³/f.u.; energy above the lowest structure with this stoichiometry = 0.43 eV/f.u.; uncorrected formation energy = 378.1 meV/atom
1.0
3.035 0.000 0.000
0.000 3.431 0.000
0.000 0.000 12.399
Mn Be Br
4 2 2
direct
0.000 0.000 0.000 Mn
0.000 0.500 0.317 Mn
0.500 0.000 0.817 Mn
0.500 0.500 0.500 Mn
0.000 0.500 0.872 Be
0.500 0.000 0.372 Be
0.000 0.000 0.635 Br
0.500 0.500 0.135 Br


[12]
MnBeBr2, relaxed, DFT PBE; magnetic moment = 3.150 μB per formula unit; V = 84 Å³/f.u.; energy above the lowest structure with this stoichiometry = 1.99 eV/f.u.; uncorrected formation energy = 350.6 meV/atom
1.0
5.654 0.000 0.000
0.000 5.654 0.000
0.000 0.000 10.538
Mn Be Br
4 4 8
direct
0.000 0.000 0.000 Mn
0.000 0.500 0.250 Mn
0.500 0.000 0.750 Mn
0.500 0.500 0.500 Mn
0.000 0.000 0.500 Be
0.000 0.500 0.750 Be
0.500 0.000 0.250 Be
0.500 0.500 0.000 Be
0.207 0.250 0.625 Br
0.250 0.707 0.875 Br
0.250 0.793 0.375 Br
0.293 0.250 0.125 Br
0.707 0.750 0.125 Br
0.750 0.207 0.375 Br
0.750 0.293 0.875 Br
0.793 0.750 0.625 Br